Entry 1:
! LiTl2As, relaxed, DFT PBEsol; values from VASP
&SYSTEM
  ibrav = 0, nat = 8, ntyp = 3
/
ATOMIC_SPECIES
Li 6.94 Li.upf
Tl 204.38 Tl.upf
As 74.92 As.upf
ATOMIC_POSITIONS angstrom
Li 0.000 0.000 0.000
Li 2.074 2.460 4.514
Tl 0.000 0.000 4.926
Tl 0.000 2.460 6.956
Tl 2.074 0.000 2.442
Tl 2.074 2.460 0.411
As 0.000 2.460 2.748
As 2.074 0.000 7.262
CELL_PARAMETERS angstrom
4.148 0.000 0.000
0.000 4.921 0.000
0.000 0.000 9.028
! D(E_F): 3.4 states/eV per cell
! final energy: -3.1755 eV per atom



Entry 2:
! K2AgSb, relaxed, DFT PBEsol; values from VASP
&SYSTEM
  ibrav = 0, nat = 8, ntyp = 3
/
ATOMIC_SPECIES
K 39.10 K.upf
Ag 107.87 Ag.upf
Sb 121.76 Sb.upf
ATOMIC_POSITIONS angstrom
K 0.000 0.000 0.000
K 0.000 2.757 5.582
K 2.464 0.000 3.285
K 2.464 2.757 8.867
Ag 2.464 0.000 6.819
Ag 2.464 2.757 1.237
Sb 0.000 0.000 7.687
Sb 0.000 2.757 2.105
CELL_PARAMETERS angstrom
4.929 0.000 0.000
0.000 5.514 0.000
0.000 0.000 11.164
! D(E_F): 0.1 states/eV per cell
! final energy: -2.8013 eV per atom



Entry 3:
! GeTe2Os2, relaxed, DFT PBEsol; values from VASP
&SYSTEM
  ibrav = 0, nat = 10, ntyp = 3
/
ATOMIC_SPECIES
Ge 72.64 Ge.upf
Te 127.60 Te.upf
Os 190.23 Os.upf
ATOMIC_POSITIONS angstrom
Ge 0.000 0.000 0.000
Ge 2.029 2.029 6.576
Te 0.000 0.000 4.914
Te 0.000 0.000 8.239
Te 2.029 2.029 1.663
Te 2.029 2.029 11.490
Os 0.000 2.029 3.288
Os 0.000 2.029 9.865
Os 2.029 0.000 3.288
Os 2.029 0.000 9.865
CELL_PARAMETERS angstrom
4.058 0.000 0.000
0.000 4.058 0.000
0.000 0.000 13.153
! D(E_F): 6.4 states/eV per cell
! final energy: -6.5651 eV per atom



Entry 4:
! K2InRu, relaxed, DFT PBEsol; values from VASP
&SYSTEM
  ibrav = 0, nat = 4, ntyp = 3
/
ATOMIC_SPECIES
K 39.10 K.upf
In 114.82 In.upf
Ru 101.07 Ru.upf
ATOMIC_POSITIONS angstrom
K 0.000 0.000 0.000
K 1.806 2.247 0.000
In 0.000 2.247 2.830
Ru 1.806 0.000 2.830
CELL_PARAMETERS angstrom
3.612 0.000 0.000
0.000 4.494 0.000
0.000 0.000 5.660
! D(E_F): 1.9 states/eV per cell
! final energy: -3.0832 eV per atom



Entry 5:
! HWS2, relaxed, DFT PBEsol; values from VASP
&SYSTEM
  ibrav = 0, nat = 12, ntyp = 3
/
ATOMIC_SPECIES
H 1.01 H.upf
W 183.84 W.upf
S 32.06 S.upf
ATOMIC_POSITIONS angstrom
H 0.000 0.000 0.000
H 0.000 1.641 14.572
H 1.421 0.820 7.286
W 0.000 0.000 10.929
W 0.000 1.641 3.643
W 1.421 0.820 18.216
S 0.000 0.000 8.604
S 0.000 0.000 13.255
S 0.000 1.641 1.318
S 0.000 1.641 5.969
S 1.421 0.820 15.890
S 1.421 0.820 20.541
CELL_PARAMETERS angstrom
2.842 0.000 0.000
-1.421 2.461 0.000
0.000 0.000 21.859
! D(E_F): 7.7 states/eV per cell
! final energy: -5.7375 eV per atom



Entry 6:
! K3NiO2, relaxed, DFT PBEsol; values from VASP
&SYSTEM
  ibrav = 0, nat = 24, ntyp = 3
/
ATOMIC_SPECIES
K 39.10 K.upf
Ni 58.69 Ni.upf
O 16.00 O.upf
ATOMIC_POSITIONS angstrom
K 0.162 2.825 1.702
K 0.162 3.149 5.123
K 0.371 0.371 6.843
K 2.616 3.358 10.264
K 2.825 0.162 11.983
K 2.825 5.812 1.719
K 3.149 0.162 8.562
K 3.149 5.812 5.141
K 3.358 2.616 3.421
K 5.603 5.603 0.000
K 5.812 2.825 11.966
K 5.812 3.149 8.545
Ni 0.026 5.948 3.421
Ni 2.961 2.961 0.000
Ni 3.013 3.013 6.843
Ni 5.948 0.026 10.264
O 1.186 1.273 10.076
O 1.273 1.186 3.610
O 1.714 4.172 13.497
O 1.801 4.260 7.031
O 4.172 1.714 0.188
O 4.260 1.801 6.654
O 4.701 4.788 10.452
O 4.788 4.701 3.233
CELL_PARAMETERS angstrom
5.974 0.000 0.000
0.000 5.974 0.000
0.000 0.000 13.685
! D(E_F): 26.7 states/eV per cell
! final energy: -4.3471 eV per atom



Entry 7:
! CsTe3Au, relaxed, DFT PBEsol; values from VASP
&SYSTEM
  ibrav = 0, nat = 5, ntyp = 3
/
ATOMIC_SPECIES
Cs 132.91 Cs.upf
Te 127.60 Te.upf
Au 196.97 Au.upf
ATOMIC_POSITIONS angstrom
Cs 0.000 0.000 0.000
Te 0.000 2.764 2.764
Te 2.764 0.000 2.764
Te 2.764 2.764 0.000
Au 2.764 2.764 2.764
CELL_PARAMETERS angstrom
5.528 0.000 0.000
0.000 5.528 0.000
0.000 0.000 5.528
! D(E_F): 4.5 states/eV per cell
! final energy: -3.2320 eV per atom



Entry 8:
! LaIn3, relaxed, DFT PBEsol; values from VASP
&SYSTEM
  ibrav = 0, nat = 24, ntyp = 2
/
ATOMIC_SPECIES
La 138.91 La.upf
In 114.82 In.upf
ATOMIC_POSITIONS angstrom
La 1.650 1.580 0.939
La 1.650 6.246 0.939
La 1.650 11.740 3.523
La 4.949 3.913 2.589
La 4.949 9.407 5.173
La 4.949 14.073 5.173
In 0.093 9.093 2.097
In 0.093 14.388 2.097
In 0.209 11.740 0.391
In 1.650 3.913 3.344
In 1.650 8.906 5.077
In 1.650 14.575 5.077
In 3.090 11.740 0.391
In 3.206 9.093 2.097
In 3.206 14.388 2.097
In 3.392 1.266 4.016
In 3.392 6.561 4.016
In 3.508 3.913 5.722
In 4.949 1.079 1.036
In 4.949 6.748 1.036
In 4.949 11.740 2.769
In 6.389 3.913 5.722
In 6.505 1.266 4.016
In 6.505 6.561 4.016
CELL_PARAMETERS angstrom
6.598 0.000 0.000
0.000 15.654 0.000
0.000 0.000 6.113
! D(E_F): 11.6 states/eV per cell
! final energy: -4.0187 eV per atom